The following is a DFT calculation (GGA-PBE) of a geometry-optimized KAgF3 structure.

Structure (POSCAR):
```
KAgF3
1.0
-0.520 -3.249 -1.338
-1.507 2.629 -5.799
6.325 -1.395 0.929
K Ag F
1 1 3
Direct
0.500 0.075 0.925
0.000 0.429 0.571
0.500 0.263 0.366
0.500 0.634 0.737
0.000 0.227 0.773
```

**Energy**: -3.563 eV/atom
**N(E_F)**: 0.43 states/eV per atom
**ΔE_f (raw)**: -8.3 eV/f.u.
**Crystal system**: orthorhombic

---

The following is a DFT calculation (GGA-PBE) of a geometry-optimized Nd2AgPt structure.

Structure (POSCAR):
```
Nd2AgPt
1.0
-1.449 -3.278 -0.809
2.693 -1.653 1.875
-4.101 0.296 6.150
Nd Ag Pt
2 1 1
Direct
0.000 0.000 0.767
0.000 0.000 0.233
0.500 0.500 0.500
0.500 0.500 0.000
```

**Energy**: -5.270 eV/atom
**N(E_F)**: 0.88 states/eV per atom
**ΔE_f**: -663 meV per atom
**Crystal system**: tetragonal

---

The following is a DFT calculation (GGA-PBE) of a geometry-optimized GaSiO2F structure.

Structure (POSCAR):
```
GaSiO2F
1.0
-3.005 -1.792 -0.240
1.770 -3.011 0.320
-0.452 0.188 4.266
Si O Ga F
1 2 1 1
Direct
0.000 0.000 0.000
0.000 0.500 0.000
0.500 0.000 0.000
0.500 0.500 0.500
0.000 0.000 0.500
```

**Energy**: -5.735 eV/atom
**N(E_F)**: 0.01 states/eV per atom
**ΔE_f (raw)**: -8.4 eV/f.u.
**Crystal system**: tetragonal

---

The following is a DFT calculation (GGA-PBE) of a geometry-optimized SiMoRu2 structure.

Structure (POSCAR):
```
SiMoRu2
1.0
-3.045 0.833 -4.544
-0.566 -5.469 -0.623
-6.191 -2.201 0.376
Ru Mo Si
4 2 2
Direct
0.611 0.125 0.250
0.139 0.625 0.250
0.375 0.389 0.750
0.875 0.861 0.750
0.000 0.000 0.000
0.750 0.250 0.500
0.500 0.500 0.000
0.250 0.750 0.500
```

**Energy**: -7.992 eV/atom
**N(E_F)**: 0.41 states/eV per atom
**ΔE_f (raw)**: 2.8 eV/f.u.
**Crystal system**: tetragonal

---

The following is a DFT calculation (GGA-PBE) of a geometry-optimized AcTb2Pm2Sm2 structure.

Structure (POSCAR):
```
AcTb2Pm2Sm2
1.0
-4.046 2.290 2.307
-1.214 -2.115 -5.868
-1.657 -6.964 4.008
Ac Tb Pm Sm
1 2 2 2
Direct
0.000 0.000 0.000
0.142 0.285 0.433
0.858 0.715 0.567
0.715 0.429 0.150
0.285 0.571 0.850
0.574 0.148 0.708
0.426 0.852 0.292
```

**Energy**: -4.583 eV/atom
**N(E_F)**: 1.52 states/eV per atom
**ΔE_f**: 33 meV per atom
**Crystal system**: monoclinic

---

The following is a DFT calculation (GGA-PBE) of a geometry-optimized Pm2PrCd2Sn2 structure.

Structure (POSCAR):
```
Pm2PrCd2Sn2
1.0
4.999 0.000 0.000
2.499 4.329 0.000
2.499 1.443 9.186
Pm Pr Cd Sn
2 1 2 2
Direct
0.133 0.133 0.602
0.867 0.867 0.398
0.000 0.000 0.000
0.580 0.580 0.260
0.420 0.420 0.740
0.733 0.733 0.800
0.267 0.267 0.200
```

**Energy**: -3.793 eV/atom
**N(E_F)**: 0.86 states/eV per atom
**ΔE_f**: -348 meV per atom
**Crystal system**: trigonal

---

The following is a DFT calculation (GGA-PBE) of a geometry-optimized CeSc2Ag structure.

Structure (POSCAR):
```
CeSc2Ag
1.0
3.435 0.000 0.000
0.000 3.435 0.000
0.000 0.000 7.864
Sc Ag Ce
2 1 1
Direct
0.000 0.000 0.784
0.000 0.000 0.216
0.500 0.500 0.000
0.500 0.500 0.500
```

**Energy**: -5.446 eV/atom
**N(E_F)**: 1.76 states/eV per atom
**E above lowest polymorph**: 0 meV/atom
**ΔE_f**: -84 meV per atom
**Crystal system**: tetragonal

---

The following is a DFT calculation (GGA-PBE) of a geometry-optimized Ba2LiIn structure.

Structure (POSCAR):
```
Ba2LiIn
1.0
11.527 0.018 0.010
10.726 4.224 0.010
10.726 2.044 3.696
Ba In Li
2 1 1
Direct
0.994 0.994 0.994
0.506 0.506 0.506
0.250 0.250 0.250
0.750 0.750 0.750
```

**Energy**: -2.154 eV/atom
**N(E_F)**: 0.63 states/eV per atom
**ΔE_f**: -30 meV per atom
**Crystal system**: trigonal

---

The following is a DFT calculation (GGA-PBE) of a geometry-optimized ZrZn5 structure.

Structure (POSCAR):
```
ZrZn5
1.0
-1.443 -4.766 -3.327
0.706 -3.644 -4.700
3.721 -4.502 2.143
Zr Zn
1 5
Direct
0.305 0.305 0.890
0.988 0.988 0.060
0.636 0.636 0.246
0.306 0.306 0.388
0.974 0.974 0.534
0.623 0.623 0.716
```

**Energy**: -2.570 eV/atom
**N(E_F)**: 0.45 states/eV per atom
**ΔE_f**: -84 meV per atom
**Crystal system**: monoclinic

---

The following is a DFT calculation (GGA-PBE) of a geometry-optimized K2SrZn structure.

Structure (POSCAR):
```
K2SrZn
1.0
7.981 0.012 0.002
-4.684 6.462 0.002
1.075 2.112 3.674
K Sr Zn
2 1 1
Direct
0.000 0.000 0.000
0.500 0.500 0.000
0.500 0.000 0.500
0.000 0.500 0.500
```

**Energy**: -1.061 eV/atom
**N(E_F)**: 0.98 states/eV per atom
**ΔE_f**: 227 meV per atom
**Crystal system**: monoclinic

---

The following is a DFT calculation (GGA-PBE) of a geometry-optimized Pr2Ho3Mg3 structure.

Structure (POSCAR):
```
Pr2Ho3Mg3
1.0
-3.428 0.624 1.604
-0.321 -5.252 1.358
6.906 4.560 8.396
Pr Ho Mg
2 3 3
Direct
0.267 0.767 0.534
0.733 0.233 0.466
0.379 0.379 0.758
0.621 0.621 0.242
0.500 0.000 0.000
0.887 0.887 0.775
0.000 0.500 0.000
0.113 0.113 0.225
```

**Energy**: -3.549 eV/atom
**N(E_F)**: 1.17 states/eV per atom
**ΔE_f**: -39 meV per atom
**Crystal system**: orthorhombic

---

The following is a DFT calculation (GGA-PBE) of a geometry-optimized Zr2CrBr structure.

Structure (POSCAR):
```
Zr2CrBr
1.0
5.768 -0.093 0.000
3.143 4.837 0.000
-4.455 -2.372 2.793
Br Cr Zr
1 1 2
Direct
0.500 0.500 0.000
0.750 0.250 0.500
0.000 0.000 0.000
0.250 0.750 0.500
```

**Energy**: -6.741 eV/atom
**N(E_F)**: 0.95 states/eV per atom
**E above lowest polymorph**: 575 meV/atom
**ΔE_f (raw)**: 1.4 eV/f.u.
**Crystal system**: tetragonal

---

energy of number 12 (Zr2CrBr)?
-6.741 eV/atom